Compound: CdGePt2
Source: Alexandria via LeMat-Bulk
Functional: GGA-PBE
Structure: relaxed

```
data_CdGePt2
_symmetry_space_group_name_H-M 'P n m a'
_symmetry_Int_Tables_number 62
_cell_length_a 6.8566
_cell_length_b 5.5620
_cell_length_c 7.7491
_cell_angle_alpha 90.00
_cell_angle_beta 90.00
_cell_angle_gamma 90.00
loop_
_symmetry_equiv_pos_as_xyz
'x,y,z'
'-x,-y,-z'
'-x+1/2,-y,z+1/2'
'x+1/2,y,-z+1/2'
'x+1/2,-y+1/2,-z+1/2'
'-x+1/2,y+1/2,z+1/2'
'-x,y+1/2,-z'
'x,-y+1/2,z'
loop_
_atom_site_label
_atom_site_type_symbol
_atom_site_fract_x
_atom_site_fract_y
_atom_site_fract_z
_atom_site_occupancy
Cd1 Cd 0.0404 0.2500 0.1110 1
Ge1 Ge 0.1295 0.2500 0.6652 1
Pt1 Pt 0.1853 0.5044 0.3965 1
```

Computed properties:
Energy of formation from the pure elements = -0.41 eV per atom
Calculated total energy = -4.809 eV/atom
DOS(E_F) = 1.5 states/eV/f.u.
Excess energy over the best structure of this formula in the dataset = 0 meV/atom
Total magnetic moment = 0.00 μB/cell